A relaxed Tm3VAg3O8 crystal, computed with PBE with a Hubbard U.

## Properties
SG: No. 12
Spin magnetization in Bohr magnetons per cell: 0.97
Calculated total energy in eV/atom: -6.808

Unit cell a=6.7410 b=6.6489 c=9.5837 alpha=130.55 beta=90.00 gamma=120.46
Closest atoms and distances in Å follow each position.
Sites, in units of the cell vectors:
1 Tm 0.5000 0.0000 0.5000  6 O 2.19-2.24
2 Tm 0.5000 0.5000 0.5000  6 O 2.20-2.27
3 Tm 0.0000 0.5000 0.5000  6 O 2.20-2.27
4 V 0.0000 0.0000 0.5000  6 O 1.89-2.10
5 Ag 0.0000 0.0000 0.0000  2 O 2.10
6 Ag 0.0000 0.5000 0.0000  2 O 2.09
7 Ag 0.5000 0.5000 0.0000  2 O 2.09
8 O 0.2266 0.4532 0.3326  1 Ag 2.10, 3 Tm 2.19-2.20
9 O 0.7734 0.5468 0.6674  1 Ag 2.10, 3 Tm 2.19-2.20
10 O 0.7647 0.5295 0.3554  1 V 1.89
11 O 0.2353 0.4705 0.6446  1 V 1.89
12 O 0.7338 0.9409 0.3320  1 Ag 2.09, 1 V 2.10, 2 Tm 2.24-2.25
13 O 0.2662 0.0591 0.6680  1 Ag 2.09, 1 V 2.10, 2 Tm 2.24-2.25
14 O 0.2071 0.9409 0.3320  1 Ag 2.09, 1 V 2.10, 2 Tm 2.24-2.25
15 O 0.7929 0.0591 0.6680  1 Ag 2.09, 1 V 2.10, 2 Tm 2.24-2.25